[1]
The following is a PBE calculation of Sr2ErCd4 after structural relaxation, from Alexandria.

Results
- Calculated formation energy: -0.15 eV per atom
- Space-group type: I4/mmm, No. 139
- Crystal system: tetragonal

a b c (Å): 8.2333 8.2333 8.2333
angles (deg): 140.52 140.52 57.06
Closest atoms and distances in Å follow each position.
Atoms (fractional coordinates):
Sr: 0.2384 0.2384 0.0000  8 Cd 3.39-3.59, 1 Er 3.78
Sr: 0.7616 0.7616 0.0000  8 Cd 3.39-3.59, 1 Er 3.78
Er: 0.5000 0.5000 0.0000  8 Cd 3.17
Cd: 0.1047 0.6047 0.5000  1 Cd 3.03, 2 Er 3.17, 2 Sr 3.39
Cd: 0.3953 0.8953 0.5000  1 Cd 3.03, 2 Er 3.17, 2 Sr 3.39
Cd: 0.6047 0.1047 0.5000  1 Cd 3.03, 2 Er 3.17, 2 Sr 3.39
Cd: 0.8953 0.3953 0.5000  1 Cd 3.03, 2 Er 3.17, 2 Sr 3.39

[2]
The following is a PBE calculation of WBr2Cl after structural relaxation, from Alexandria.

Results
- Space-group type: P4mm, No. 99
- Crystal system: tetragonal
- ΔE_f (raw): 0.395 eV/atom

a b c (Å): 3.0992 3.0992 9.3377
angles (deg): 90.00 90.00 90.00
Closest atoms and distances in Å follow each position.
Atoms (fractional coordinates):
W: 0.0000 0.0000 0.0000  4 Cl 2.66, 4 Br 2.70
Br: 0.0000 0.0000 0.4942  4 Br 3.10
Br: 0.5000 0.5000 0.1684  4 W 2.70
Cl: 0.5000 0.5000 0.8385  4 W 2.66

[3]
The following is a PBE calculation of Tm2ThAg2Sn2 after structural relaxation, from Alexandria.

Results
- Calculated formation energy: -0.34 eV per atom
- Space-group type: R-3m, No. 166
- Crystal system: trigonal

a b c (Å): 8.9970 8.9970 8.9970
angles (deg): 31.48 31.48 31.48
Closest atoms and distances in Å follow each position.
Atoms (fractional coordinates):
Tm: 0.1333 0.1333 0.1333  3 Ag 2.90
Tm: 0.8667 0.8667 0.8667  3 Ag 2.90
Th: 0.0000 0.0000 0.0000  6 Sn 3.34, 2 Tm 3.42
Ag: 0.4392 0.4392 0.4392  3 Tm 2.90, 3 Sn 2.97, 1 Ag 3.12
Ag: 0.5608 0.5608 0.5608  3 Tm 2.90, 3 Sn 2.97, 1 Ag 3.12
Sn: 0.2635 0.2635 0.2635  3 Ag 2.97, 3 Tm 3.25
Sn: 0.7365 0.7365 0.7365  3 Ag 2.97, 3 Tm 3.25

What is the formula in the third record? Tm2ThAg2Sn2

Which formula does entry 1 have? Sr2ErCd4